w) {"formula": "K2PbCl5", "functional": "PBE", "state": "relaxed", "space_group": "Pnma, No. 62", "lattice": [[-4.3341, -6.7715, 1.4766], [6.6530, -4.9822, -3.3197], [5.1700, -0.7909, 11.5479]], "species": ["Cl", "Cl", "Cl", "Cl", "Cl", "Cl", "Cl", "Cl", "Cl", "Cl", "Cl", "Cl", "Cl", "Cl", "Cl", "Cl", "Cl", "Cl", "Cl", "Cl", "K", "K", "K", "K", "K", "K", "K", "K", "Pb", "Pb", "Pb", "Pb"], "fractional_positions": [[0.8875, 0.2500, 0.8111], [0.8261, 0.4562, 0.0698], [0.1739, 0.5438, 0.9302], [0.8473, 0.7500, 0.7950], [0.6125, 0.2500, 0.3111], [0.9245, 0.7500, 0.5110], [0.6739, 0.4562, 0.5698], [0.4245, 0.2500, 0.9890], [0.5755, 0.7500, 0.0110], [0.0755, 0.2500, 0.4890], [0.6527, 0.7500, 0.2950], [0.1739, 0.9562, 0.9302], [0.1125, 0.7500, 0.1889], [0.8261, 0.0438, 0.0698], [0.3261, 0.5438, 0.4302], [0.6739, 0.0438, 0.5698], [0.3875, 0.7500, 0.6889], [0.3261, 0.9562, 0.4302], [0.3473, 0.2500, 0.7050], [0.1527, 0.2500, 0.2050], [0.5692, 0.4938, 0.8306], [0.9308, 0.4938, 0.3306], [0.0692, 0.5062, 0.6694], [0.4308, 0.5062, 0.1694], [0.4308, 0.9938, 0.1694], [0.0692, 0.9938, 0.6694], [0.9308, 0.0062, 0.3306], [0.5692, 0.0062, 0.8306], [0.0717, 0.2500, 0.9941], [0.4283, 0.2500, 0.4941], [0.9283, 0.7500, 0.0059], [0.5717, 0.7500, 0.5059]]}



x) {"formula": "K2PbCl5", "functional": "PBE", "state": "relaxed", "space_group": "Fmmm, No. 69", "lattice": [[5.4303, 0.0000, 1.8237], [2.7152, 5.8145, 0.9118], [0.2094, 0.0000, 8.3732]], "species": ["Cl", "Cl", "Cl", "Cl", "Cl", "K", "K", "Pb"], "fractional_positions": [[0.2183, 0.7946, 0.7689], [0.5129, 0.2054, 0.7689], [0.0000, 0.5000, 0.5000], [0.7817, 0.2054, 0.2311], [0.4871, 0.7946, 0.2311], [0.8133, 0.5000, 0.8735], [0.1867, 0.5000, 0.1265], [0.5000, 0.5000, 0.5000]]}



The structure with the least stability is x).



w) {"formula": "KPbCl", "functional": "PBE", "state": "relaxed", "space_group": "P-6m2, No. 187", "lattice": [[-5.5536, 0.2803, 0.6730], [3.3307, -0.6668, 4.4537], [0.2235, 3.5523, 0.3647]], "species": ["Cl", "Pb", "K"], "fractional_positions": [[0.0000, 0.0000, 0.8344], [0.3333, 0.6667, 0.8332], [0.6667, 0.3333, 0.3324]]}



x) {"formula": "KPbCl", "functional": "PBE", "state": "relaxed", "space_group": "P3m1, No. 156", "lattice": [[3.9006, 0.0000, 0.0000], [-1.9503, 3.3780, 0.0000], [0.0000, 0.0000, 7.8921]], "species": ["K", "Pb", "Cl"], "fractional_positions": [[0.6667, 0.3333, 0.2666], [0.3333, 0.6667, 0.7093], [0.0000, 0.0000, 0.0241]]}



The structure with the least stability is w).



w) {"formula": "KPbCl", "functional": "PBE", "state": "relaxed", "space_group": "I4mm, No. 107", "lattice": [[8.0397, -0.0090, 0.0094], [7.2125, 3.5523, 0.0283], [0.8273, 0.1739, 3.5571]], "species": ["Pb", "Cl", "K"], "fractional_positions": [[0.6486, 0.6486, 0.3514], [0.9753, 0.9753, 0.0247], [0.3761, 0.3761, 0.6239]]}



x) {"formula": "KPbCl", "functional": "PBE", "state": "relaxed", "space_group": "P4/nmm, No. 129", "lattice": [[4.2887, 0.0000, 0.0000], [0.0000, 4.2887, 0.0000], [0.0000, 0.0000, 11.3428]], "species": ["Cl", "Cl", "K", "K", "Pb", "Pb"], "fractional_positions": [[0.5000, 0.0000, 0.3631], [0.0000, 0.5000, 0.6369], [0.5000, 0.0000, 0.6481], [0.0000, 0.5000, 0.3519], [0.5000, 0.0000, 0.0602], [0.0000, 0.5000, 0.9398]]}



The structure with the least stability is w).



w) {"formula": "KPbSeCl", "functional": "PBE", "state": "relaxed", "space_group": "F-43m, No. 216", "lattice": [[-1.1995, 1.7201, -4.9324], [1.6378, -2.7799, -4.2797], [-3.5609, -2.6774, -2.9797]], "species": ["Cl", "K", "Pb", "Se"], "fractional_positions": [[0.7500, 0.7500, 0.7500], [0.0000, 0.0000, 0.0000], [0.5000, 0.5000, 0.5000], [0.2500, 0.2500, 0.2500]]}



x) {"formula": "KPbSeCl", "functional": "PBE", "state": "relaxed", "space_group": "R3m, No. 160", "lattice": [[-1.4121, -1.9347, 3.6960], [2.7795, -2.4036, 2.4279], [2.3669, 4.8088, 6.0456]], "species": ["Cl", "Pb", "K", "Se"], "fractional_positions": [[0.7509, 0.7509, 0.7474], [0.9926, 0.9926, 0.0221], [0.4964, 0.4964, 0.5108], [0.2601, 0.2601, 0.2196]]}



The structure with the least stability is w).



w) {"formula": "KTePbCl", "functional": "PBE", "state": "relaxed", "space_group": "F-43m, No. 216", "lattice": [[5.5805, 0.0000, 0.0000], [2.7903, 4.8329, 0.0000], [2.7903, 1.6110, 4.5565]], "species": ["Pb", "K", "Cl", "Te"], "fractional_positions": [[0.5000, 0.5000, 0.5000], [0.0000, 0.0000, 0.0000], [0.7500, 0.7500, 0.7500], [0.2500, 0.2500, 0.2500]]}



x) {"formula": "KTePbCl", "functional": "PBE", "state": "relaxed", "space_group": "P3m1, No. 156", "lattice": [[-2.6335, -3.4737, -0.9884], [4.4313, -0.3503, -0.4689], [0.6293, -2.7550, 8.0055]], "species": ["Pb", "Te", "Cl", "K"], "fractional_positions": [[0.6667, 0.3333, 0.0419], [0.0000, 0.0000, 0.2442], [0.0000, 0.0000, 0.7602], [0.6667, 0.3333, 0.5628]]}



The structure with the least stability is w).



w) {"formula": "KPd2Cl2", "functional": "PBE", "state": "relaxed", "space_group": "P4/mbm, No. 127", "lattice": [[-0.6049, -5.1001, 6.2720], [1.0772, -6.2843, -5.0062], [4.3285, 0.2485, 0.6195]], "species": ["Pd", "Pd", "Pd", "Pd", "Cl", "Cl", "Cl", "Cl", "K", "K"], "fractional_positions": [[0.3862, 0.8862, 0.0000], [0.1138, 0.3862, 0.0000], [0.6138, 0.1138, 0.0000], [0.8862, 0.6138, 0.0000], [0.6803, 0.1803, 0.5000], [0.1803, 0.3197, 0.5000], [0.3197, 0.8197, 0.5000], [0.8197, 0.6803, 0.5000], [0.5000, 0.5000, 0.0000], [0.0000, 0.0000, 0.0000]]}



x) {"formula": "KPd2Cl2", "functional": "PBE", "state": "relaxed", "space_group": "P4/mbm, No. 127", "lattice": [[8.1593, 0.0000, 0.0000], [0.0000, 8.1593, 0.0000], [0.0000, 0.0000, 4.5166]], "species": ["Pd", "Pd", "Pd", "Pd", "Cl", "Cl", "Cl", "Cl", "K", "K"], "fractional_positions": [[0.1149, 0.6149, 0.5000], [0.3851, 0.1149, 0.5000], [0.8851, 0.3851, 0.5000], [0.6149, 0.8851, 0.5000], [0.6604, 0.8396, 0.0000], [0.1604, 0.6604, 0.0000], [0.3396, 0.1604, 0.0000], [0.8396, 0.3396, 0.0000], [0.5000, 0.5000, 0.0000], [0.0000, 0.0000, 0.0000]]}



y) {"formula": "KPd2Cl2", "functional": "PBE", "state": "relaxed", "space_group": "I4/mmm, No. 139", "lattice": [[-2.9287, -4.0197, -0.5886], [4.0450, -2.9526, 0.0374], [0.2134, -3.9009, 4.2718]], "species": ["K", "Cl", "Cl", "Pd", "Pd"], "fractional_positions": [[0.0000, 0.0000, 0.0000], [0.7500, 0.2500, 0.5000], [0.2500, 0.7500, 0.5000], [0.6701, 0.6701, 0.6598], [0.3299, 0.3299, 0.3402]]}



z) {"formula": "KPd2Cl2", "functional": "PBE", "state": "relaxed", "space_group": "I4/mmm, No. 139", "lattice": [[-1.9102, -1.9745, -2.6461], [-2.3205, -1.3718, 2.6987], [-6.8162, 4.2539, -1.0028]], "species": ["Pd", "Pd", "Cl", "Cl", "K"], "fractional_positions": [[0.2500, 0.7500, 0.5000], [0.7500, 0.2500, 0.5000], [0.3844, 0.3844, 0.2312], [0.6156, 0.6156, 0.7688], [0.0000, 0.0000, 0.0000]]}



The structure with the least stability is y).



w) {"formula": "K2PdCl4", "functional": "PBE", "state": "relaxed", "space_group": "I4/mmm, No. 139", "lattice": [[-0.3584, -1.7767, -4.6845], [-1.1374, -4.5450, 1.8108], [-8.2350, -1.3349, -1.5565]], "species": ["Cl", "Cl", "Cl", "Cl", "Pd", "K", "K"], "fractional_positions": [[0.8414, 0.8414, 0.3171], [0.5000, 0.0000, 0.0000], [0.1586, 0.1586, 0.6829], [0.0000, 0.5000, 0.0000], [0.0000, 0.0000, 0.0000], [0.6366, 0.6366, 0.7267], [0.3634, 0.3634, 0.2733]]}



x) {"formula": "K2PdCl4", "functional": "PBE", "state": "relaxed", "space_group": "P4/mmm, No. 123", "lattice": [[-1.9122, -5.0434, 4.7050], [0.4822, -4.9683, -5.1296], [4.0251, -0.6163, 0.9753]], "species": ["Cl", "Cl", "Cl", "Cl", "Pd", "K", "K"], "fractional_positions": [[0.7693, 0.7693, 0.0000], [0.7693, 0.2307, 0.0000], [0.2307, 0.7693, 0.0000], [0.2307, 0.2307, 0.0000], [0.0000, 0.0000, 0.0000], [0.5000, 0.0000, 0.5000], [0.0000, 0.5000, 0.5000]]}



The structure with the least stability is w).



w) {"formula": "K2PdCl", "functional": "PBE", "state": "relaxed", "space_group": "I-42d, No. 122", "lattice": [[-7.7800, -2.5480, 0.5879], [1.9102, -6.7980, -4.1837], [-1.9759, -6.7292, 1.9812]], "species": ["K", "K", "K", "K", "Cl", "Cl", "Pd", "Pd"], "fractional_positions": [[0.3750, 0.3944, 0.7500], [0.1444, 0.6250, 0.2500], [0.6056, 0.1250, 0.2500], [0.8750, 0.8556, 0.7500], [0.2500, 0.7500, 0.5000], [0.5000, 0.5000, 0.0000], [0.7500, 0.2500, 0.5000], [0.0000, 0.0000, 0.0000]]}



x) {"formula": "K2PdCl", "functional": "PBE", "state": "relaxed", "space_group": "Fm-3m, No. 225", "lattice": [[0.0000, 3.8972, 3.8972], [3.8972, 0.0000, 3.8972], [3.8972, 3.8972, 0.0000]], "species": ["Cl", "Pd", "K", "K"], "fractional_positions": [[0.0000, 0.0000, 0.0000], [0.5000, 0.5000, 0.5000], [0.2500, 0.2500, 0.2500], [0.7500, 0.7500, 0.7500]]}



The structure with the least stability is x).



w) {"formula": "KPdSCl2", "functional": "PBE", "state": "relaxed", "space_group": "P4/mmm, No. 123", "lattice": [[5.1336, 0.0000, 0.0000], [0.0000, 5.1336, 0.0000], [0.0000, 0.0000, 4.6397]], "species": ["Cl", "Cl", "K", "S", "Pd"], "fractional_positions": [[0.5000, 0.0000, 0.0000], [0.0000, 0.5000, 0.0000], [0.5000, 0.5000, 0.5000], [0.0000, 0.0000, 0.5000], [0.0000, 0.0000, 0.0000]]}



x) {"formula": "KPdSCl2", "functional": "PBE", "state": "relaxed", "space_group": "P4/mmm, No. 123", "lattice": [[-5.5025, 1.2691, 0.8917], [-1.5275, -3.8639, -3.9269], [-0.2722, -4.0647, 4.1053]], "species": ["K", "Cl", "Cl", "S", "Pd"], "fractional_positions": [[0.0000, 0.0000, 0.0000], [0.0000, 0.5000, 0.0000], [0.5000, 0.0000, 0.0000], [0.0000, 0.0000, 0.5000], [0.5000, 0.5000, 0.5000]]}



The structure with the least stability is x).



w) {"formula": "K2TlPdCl", "functional": "PBE", "state": "relaxed", "space_group": "P4/mmm, No. 123", "lattice": [[-3.9917, 1.8538, -5.0002], [-3.8169, -2.6305, 2.0718], [-1.8340, 5.3876, 3.4615]], "species": ["Tl", "Pd", "K", "K", "Cl"], "fractional_positions": [[0.0000, 0.0000, 0.0000], [0.0000, 0.5000, 0.0000], [0.0000, 0.0000, 0.5000], [0.5000, 0.0000, 0.0000], [0.5000, 0.5000, 0.5000]]}



x) {"formula": "K2TlPdCl", "functional": "PBE", "state": "relaxed", "space_group": "P4/mmm, No. 123", "lattice": [[-2.6625, -3.4509, 4.1103], [2.4015, -3.7974, -1.6326], [4.4436, 1.1556, 3.8485]], "species": ["Pd", "Cl", "Tl", "K", "K"], "fractional_positions": [[0.0000, 0.5000, 0.0000], [0.0000, 0.0000, 0.0000], [0.5000, 0.5000, 0.5000], [0.5000, 0.0000, 0.0000], [0.0000, 0.0000, 0.5000]]}



The structure with the least stability is w).



w) {"formula": "KPmCl4", "functional": "PBE", "state": "relaxed", "space_group": "I4_1md, No. 109", "lattice": [[-2.4475, -1.4986, 7.6205], [4.8338, -5.9160, -2.8185], [4.1953, 6.9790, -0.0270]], "species": ["Cl", "Cl", "Cl", "Cl", "Cl", "Cl", "Cl", "Cl", "K", "K", "Pm", "Pm"], "fractional_positions": [[0.2825, 0.5929, 0.3105], [0.1737, 0.9711, 0.2026], [0.2825, 0.9720, 0.6895], [0.3429, 0.5325, 0.8105], [0.7211, 0.0186, 0.2974], [0.7211, 0.4237, 0.7026], [0.7686, 0.9711, 0.7974], [0.7220, 0.5325, 0.1895], [0.2535, 0.2535, 0.0000], [0.0035, 0.5035, 0.5000], [0.7392, 0.7392, 0.0000], [0.4892, 0.9892, 0.5000]]}



x) {"formula": "KPmCl4", "functional": "PBE", "state": "relaxed", "space_group": "Pnma, No. 62", "lattice": [[4.3132, 0.0000, 0.0000], [0.0000, 7.5826, 0.0000], [0.0000, 0.0000, 19.2943]], "species": ["K", "K", "K", "K", "Cl", "Cl", "Cl", "Cl", "Cl", "Cl", "Cl", "Cl", "Cl", "Cl", "Cl", "Cl", "Cl", "Cl", "Cl", "Cl", "Pm", "Pm", "Pm", "Pm"], "fractional_positions": [[0.2500, 0.7138, 0.2940], [0.2500, 0.2138, 0.2060], [0.7500, 0.7862, 0.7940], [0.7500, 0.2862, 0.7060], [0.7500, 0.8577, 0.4643], [0.7500, 0.4906, 0.5627], [0.2500, 0.0094, 0.0627], [0.2500, 0.0918, 0.3640], [0.7500, 0.9063, 0.1955], [0.7500, 0.9906, 0.9373], [0.7500, 0.4063, 0.3045], [0.2500, 0.5094, 0.4373], [0.2500, 0.5937, 0.6955], [0.2500, 0.6423, 0.9643], [0.7500, 0.9082, 0.6360], [0.7500, 0.3577, 0.0357], [0.2500, 0.0937, 0.8045], [0.7500, 0.4082, 0.8640], [0.2500, 0.1423, 0.5357], [0.2500, 0.5918, 0.1360], [0.2500, 0.2509, 0.9393], [0.7500, 0.7491, 0.0607], [0.2500, 0.7509, 0.5607], [0.7500, 0.2491, 0.4393]]}



The structure with the least stability is w).